No. 1
Material: LiAlIn
Method: DFT, PBE
State: optimized geometry

a b c (Å): 4.5672 4.5672 4.5672
angles (deg): 60.00 60.00 60.00
Atoms (fractional coordinates):
1 Li 0.0000 0.0000 0.0000
2 Al 0.5000 0.5000 0.5000
3 In 0.7500 0.7500 0.7500

Summary:
Crystal system: cubic
ΔH_f (0 K), kJ per mole of atoms: 0.1
Offset from the most stable computed form, meV/atom: 115
Space group: No. 216

No. 2
Material: LiAlIn2
Method: DFT, PBE
State: optimized geometry

a b c (Å): 7.1986 7.1986 7.1986
angles (deg): 32.72 32.72 32.72
Atoms (fractional coordinates):
1 Li 0.0000 0.0000 0.0000
2 Al 0.1646 0.1646 0.1646
3 In 0.4167 0.4167 0.4167
4 In 0.5803 0.5803 0.5803

Summary:
Crystal system: trigonal
ΔH_f (0 K), kJ per mole of atoms: 9.2
Space group: No. 160

No. 3
Material: LiAlIn2
Method: DFT, PBE
State: optimized geometry

a b c (Å): 4.3102 4.3102 5.3739
angles (deg): 112.04 112.04 89.95
Atoms (fractional coordinates):
1 Li 0.0000 0.0000 0.0000
2 Al 0.7532 0.2468 0.5000
3 In 0.2448 0.7552 0.5000
4 In 0.5032 0.4968 0.0000

Summary:
Crystal system: monoclinic
ΔH_f (0 K), kJ per mole of atoms: -5.3
Space group: No. 5

No. 4
Material: Li8AlIn2
Method: DFT, PBE
State: optimized geometry

a b c (Å): 7.8118 7.8118 4.8531
angles (deg): 106.30 106.30 122.82
Atoms (fractional coordinates):
1 Li 0.0979 0.3383 0.6869
2 Li 0.2024 0.7976 0.0000
3 Li 0.3383 0.0979 0.6869
4 Li 0.4192 0.4192 0.2041
5 Li 0.5808 0.5808 0.7959
6 Li 0.6617 0.9021 0.3131
7 Li 0.7976 0.2024 0.0000
8 Li 0.9021 0.6617 0.3131
9 Al 0.0000 0.0000 0.0000
10 In 0.3129 0.6871 0.5000
11 In 0.6871 0.3129 0.5000

Summary:
Crystal system: monoclinic
ΔH_f (0 K), kJ per mole of atoms: -9.9
Offset from the most stable computed form, meV/atom: 8
Space group: No. 12

No. 5
Material: LiAlIn
Method: DFT, PBE
State: optimized geometry

a b c (Å): 4.7507 4.7507 3.1798
angles (deg): 90.00 90.00 120.00
Atoms (fractional coordinates):
1 Li 0.0000 0.0000 0.0000
2 Al 0.6667 0.3333 0.4971
3 In 0.3333 0.6667 0.5036

Summary:
Crystal system: trigonal
ΔH_f (0 K), kJ per mole of atoms: -4.8
Offset from the most stable computed form, meV/atom: 64
Space group: No. 156

No. 6
Material: LiAlIn
Method: DFT, PBE
State: optimized geometry

a b c (Å): 6.9098 6.9098 4.1401
angles (deg): 90.00 90.00 144.29
Atoms (fractional coordinates):
1 Li 0.1568 0.8432 0.0000
2 Li 0.8432 0.1568 0.0000
3 Al 0.0000 0.0000 0.5000
4 Al 0.5000 0.5000 0.0000
5 In 0.3364 0.6636 0.5000
6 In 0.6636 0.3364 0.5000

Summary:
Crystal system: orthorhombic
ΔH_f (0 K), kJ per mole of atoms: -11.0
Offset from the most stable computed form, meV/atom: 0
Space group: No. 65

No. 7
Material: Li7AlIn4
Method: DFT, PBE
State: optimized geometry

a b c (Å): 7.2119 7.2119 8.1724
angles (deg): 117.68 117.68 40.49
Atoms (fractional coordinates):
1 Li 0.0000 0.0000 0.0000
2 Li 0.2771 0.2771 0.7546
3 Li 0.2943 0.2943 0.1175
4 Li 0.4209 0.4209 0.5680
5 Li 0.5791 0.5791 0.4320
6 Li 0.7057 0.7057 0.8825
7 Li 0.7229 0.7229 0.2454
8 Al 0.5000 0.5000 0.0000
9 In 0.0679 0.0679 0.7168
10 In 0.1759 0.1759 0.3564
11 In 0.8241 0.8241 0.6436
12 In 0.9321 0.9321 0.2832

Summary:
Crystal system: monoclinic
ΔH_f (0 K), kJ per mole of atoms: -10.8
Space group: No. 12

No. 8
Material: LiAlIn2
Method: DFT, PBE
State: optimized geometry

a b c (Å): 3.1047 4.9410 5.5962
angles (deg): 90.00 92.30 90.00
Atoms (fractional coordinates):
1 Li 0.0000 0.0000 0.0000
2 Al 0.9924 0.5000 0.6801
3 In 0.4967 0.0000 0.5078
4 In 0.5052 0.5000 0.1483

Summary:
Crystal system: monoclinic
ΔH_f (0 K), kJ per mole of atoms: -3.4
Space group: No. 6